Here is an optimized crystal structure of Nd3Mo2N7 from the Alexandria database. Energies are from GGA-PBE.

The calculation puts the theoretical density at 7.33 g/cm³. The value obtained for the final energy is -8.5068 eV/atom. For the raw formation energy, the calculation gives -0.65 eV per atom. The value obtained for the total moment is 0.000 μB/f.u.

a b c (Å): 10.6029 10.6029 3.8826
angles (deg): 90.00 90.00 157.98
Fractional positions:
Nd  0.0000  0.0000  0.0000
Nd  0.1782  0.8218  0.0000
Nd  0.8218  0.1782  0.0000
Mo  0.3992  0.6008  0.5000
Mo  0.6008  0.3992  0.5000
N  0.0962  0.9038  0.5000
N  0.3033  0.6967  0.5000
N  0.4014  0.5986  0.0000
N  0.5000  0.5000  0.5000
N  0.5986  0.4014  0.0000
N  0.6967  0.3033  0.5000
N  0.9038  0.0962  0.5000